Record 1
Material: CuNi2As
Method: DFT, GGA-PBE
State: optimized geometry

Computed properties:
E_form ... -0.060 eV/atom
Volume ... 12.1 Å³/atom
Raw total energy ... -5.137 eV/atom

```
data_CuNi2As
_chemical_formula_sum 'Cu2 Ni4 As2'
_space_group_name_H-M_alt 'I -4 m 2'
_space_group_IT_number 119
_space_group_name_Hall 'I -4 -2'
_cell_length_a 3.559
_cell_length_b 3.559
_cell_length_c 7.642
_cell_angle_alpha 90.00
_cell_angle_beta 90.00
_cell_angle_gamma 90.00
loop_
_atom_site_label
_atom_site_type_symbol
_atom_site_fract_x
_atom_site_fract_y
_atom_site_fract_z
Cu1 Cu 0.000 0.000 0.000
Ni1 Ni 0.000 0.000 0.500
Ni2 Ni 0.000 0.500 0.750
As1 As 0.000 0.500 0.250
```

Record 2
Material: Na5B7C3
Method: DFT, GGA-PBE
State: optimized geometry

Computed properties:
E_form ... 0.116 eV/atom
Distance to the lowest polymorph of the same formula ... 3 meV per atom
Volume ... 10.4 Å³/atom
Raw total energy ... -5.285 eV/atom

```
data_Na5B7C3
_chemical_formula_sum 'Na20 B28 C12'
_space_group_name_H-M_alt 'C 1 2/m 1'
_space_group_IT_number 12
_space_group_name_Hall '-C 2y'
_cell_length_a 23.208
_cell_length_b 2.810
_cell_length_c 10.010
_cell_angle_alpha 90.00
_cell_angle_beta 107.15
_cell_angle_gamma 90.00
loop_
_atom_site_label
_atom_site_type_symbol
_atom_site_fract_x
_atom_site_fract_y
_atom_site_fract_z
Na1 Na 0.000 0.000 0.000
Na2 Na 0.000 0.500 0.500
Na3 Na 0.097 0.000 0.701
Na4 Na 0.098 0.500 0.198
Na5 Na 0.199 0.000 0.397
Na6 Na 0.199 0.500 0.900
B1 B 0.013 0.500 0.778
B2 B 0.080 0.000 0.412
B3 B 0.107 0.000 0.968
B4 B 0.172 0.500 0.597
B5 B 0.175 0.000 0.103
B6 B 0.215 0.000 0.683
B7 B 0.219 0.500 0.189
C1 C 0.018 0.000 0.286
C2 C 0.076 0.500 0.905
C3 C 0.111 0.500 0.477
```